[1]
# GGA-PBE CsZnCd3, optimized geometry
data_CsZnCd3
_space_group_name_H-M_alt 'P 1'
_space_group_IT_number 1
_space_group_name_Hall 'P 1'
_cell_length_a 9.4984
_cell_length_b 9.4984
_cell_length_c 7.1907
_cell_angle_alpha 100.72
_cell_angle_beta 100.72
_cell_angle_gamma 68.49
loop_
_atom_site_label
_atom_site_type_symbol
_atom_site_fract_x
_atom_site_fract_y
_atom_site_fract_z
Cs1 Cs 0.0058 0.9942 0.7500
Cs2 Cs 0.3493 0.6507 0.2500
Cs3 Cs 0.6507 0.3493 0.7500
Cs4 Cs 0.9942 0.0058 0.2500
Zn1 Zn 0.2406 0.5814 0.6980
Zn2 Zn 0.4186 0.7594 0.8020
Zn3 Zn 0.5814 0.2406 0.1980
Zn4 Zn 0.7594 0.4186 0.3020
Cd1 Cd 0.0249 0.3706 0.1143
Cd2 Cd 0.0295 0.3447 0.5765
Cd3 Cd 0.2944 0.3210 0.9045
Cd4 Cd 0.3210 0.2944 0.4045
Cd5 Cd 0.3447 0.0295 0.0765
Cd6 Cd 0.3706 0.0249 0.6143
Cd7 Cd 0.6294 0.9751 0.3857
Cd8 Cd 0.6553 0.9705 0.9235
Cd9 Cd 0.6790 0.7056 0.5955
Cd10 Cd 0.7056 0.6790 0.0955
Cd11 Cd 0.9705 0.6553 0.4235
Cd12 Cd 0.9751 0.6294 0.8857
# Formation energy: 0.04 eV/atom
# DOS at the Fermi energy: 8.47 states/eV per cell
# SG: C2/c, No. 15
# Offset from the most stable computed form: 35 meV/atom
# Total DFT energy (no corrections): -0.936 eV/atom

---

[2]
# GGA-PBE LuNiSe2, optimized geometry
data_LuNiSe2
_space_group_name_H-M_alt 'P 1'
_space_group_IT_number 1
_space_group_name_Hall 'P 1'
_cell_length_a 8.3105
_cell_length_b 8.3105
_cell_length_c 8.3105
_cell_angle_alpha 25.08
_cell_angle_beta 25.08
_cell_angle_gamma 25.08
loop_
_atom_site_label
_atom_site_type_symbol
_atom_site_fract_x
_atom_site_fract_y
_atom_site_fract_z
Lu1 Lu 0.0000 0.0000 0.0000
Ni1 Ni 0.5000 0.5000 0.5000
Se1 Se 0.1139 0.1139 0.1139
Se2 Se 0.8861 0.8861 0.8861
# DOS at the Fermi energy: 3.32 states/eV per cell
# SG: R-3m, No. 166
# Formation energy (no corrections): -1.45 eV/f.u.
# Total DFT energy (no corrections): -4.680 eV/atom

---

[3]
# GGA-PBE Ba2C, optimized geometry
data_Ba2C
_space_group_name_H-M_alt 'P 1'
_space_group_IT_number 1
_space_group_name_Hall 'P 1'
_cell_length_a 7.9807
_cell_length_b 7.9807
_cell_length_c 7.9807
_cell_angle_alpha 30.83
_cell_angle_beta 30.83
_cell_angle_gamma 30.83
loop_
_atom_site_label
_atom_site_type_symbol
_atom_site_fract_x
_atom_site_fract_y
_atom_site_fract_z
Ba1 Ba 0.2324 0.2324 0.2324
Ba2 Ba 0.7676 0.7676 0.7676
C1 C 0.5000 0.5000 0.5000
# Formation energy: 0.60 eV/atom
# DOS at the Fermi energy: 3.24 states/eV per cell
# SG: R-3m, No. 166
# Offset from the most stable computed form: 463 meV/atom
# Total DFT energy (no corrections): -3.757 eV/atom

---

[4]
# GGA-PBE PrBiPbAu, optimized geometry
data_PrBiPbAu
_space_group_name_H-M_alt 'P 1'
_space_group_IT_number 1
_space_group_name_Hall 'P 1'
_cell_length_a 5.4513
_cell_length_b 5.4513
_cell_length_c 5.4513
_cell_angle_alpha 60.00
_cell_angle_beta 60.00
_cell_angle_gamma 60.00
loop_
_atom_site_label
_atom_site_type_symbol
_atom_site_fract_x
_atom_site_fract_y
_atom_site_fract_z
Pr1 Pr 0.0000 0.0000 0.0000
Bi1 Bi 0.2500 0.2500 0.2500
Pb1 Pb 0.5000 0.5000 0.5000
Au1 Au 0.7500 0.7500 0.7500
# Formation energy: -0.40 eV/atom
# DOS at the Fermi energy: 2.65 states/eV per cell
# SG: F-43m, No. 216
# Total DFT energy (no corrections): -4.314 eV/atom